Entry from Alexandria via LeMat-Bulk: a geometry-optimized ScTlZnF6 structure (GGA-PBE).

Computed properties:
SG = No. 74
Density = 4532 kg/m3
Magnetic moment = 0.0 μB per cell
Formation energy without anion corrections = -2.942 eV/atom

Cell lengths 7.6406, 7.6406, 7.6406 Å; angles 121.46, 118.97, 89.64 degrees
Positions (direct):
Sc: 0.0000 0.0000 0.0000
Sc: 0.5000 0.0000 0.5000
Tl: 0.3102 0.5602 0.7500
Tl: 0.6898 0.4398 0.2500
Zn: 0.0000 0.0000 0.5000
Zn: 0.0000 0.5000 0.0000
F: 0.0591 0.3175 0.1374
F: 0.0591 0.9217 0.7416
F: 0.0706 0.3206 0.7500
F: 0.3140 0.0640 0.2500
F: 0.3199 0.0783 0.6374
F: 0.3199 0.6825 0.2416
F: 0.6801 0.3175 0.7584
F: 0.6801 0.9217 0.3626
F: 0.6860 0.9360 0.7500
F: 0.9294 0.6794 0.2500
F: 0.9409 0.0783 0.2584
F: 0.9409 0.6825 0.8626